<i>
Crystalline Tb6NdY2 at its relaxed geometry. Source: Alexandria, functional PBE-GGA.

Summary:
The space-group type is C2/m, No. 12.

a b c (Å): 3.4680 6.0610 17.4960
angles (deg): 117.06 84.31 73.38
With the nearest neighbours (Å) after each atom.
Positions (direct):
Tb1 0.7724 0.1872 0.2679  3 Y 3.45-3.56, 7 Tb 3.47-3.85, 1 Nd 3.49
Y1 0.8332 0.4998 0.8338  8 Tb 3.44-3.57, 2 Y 3.47
Tb2 0.2276 0.8128 0.7321  3 Y 3.45-3.56, 7 Tb 3.47-3.85, 1 Nd 3.49
Tb3 0.1011 0.1933 0.6045  1 Y 3.45, 7 Tb 3.47-3.85, 3 Nd 3.48-3.57
Tb4 0.4358 0.1911 0.9372  4 Y 3.44-3.57, 7 Tb 3.47-3.82
Tb5 0.5642 0.8089 0.0628  4 Y 3.44-3.57, 7 Tb 3.47-3.82
Y2 0.1668 0.5002 0.1662  8 Tb 3.44-3.57, 2 Y 3.47
Tb6 0.8989 0.8067 0.3955  1 Y 3.45, 7 Tb 3.47-3.85, 3 Nd 3.48-3.57
Nd1 0.5000 0.5000 0.5000  2 Nd 3.47, 8 Tb 3.48-3.57



<ii>
Crystalline Tb6NdY2 at its relaxed geometry. Source: Alexandria, functional PBE-GGA.

Summary:
The space-group type is P-3m1, No. 164.

a b c (Å): 6.1471 7.4285 7.4285
angles (deg): 60.00 89.98 89.98
With the nearest neighbours (Å) after each atom.
Positions (direct):
Y1 0.7912 0.6665 0.6665  12 Tb 3.57-3.76
Tb1 0.2976 0.8129 0.3744  1 Nd 3.02, 2 Tb 3.26
Nd1 0.0000 0.0000 0.0000  6 Tb 3.02
Tb2 0.2976 0.3744 0.8129  1 Nd 3.02, 2 Tb 3.26
Tb3 0.2977 0.8128 0.8128  1 Nd 3.02, 2 Tb 3.26
Tb4 0.7024 0.1871 0.6256  1 Nd 3.02, 2 Tb 3.26
Y2 0.2088 0.3335 0.3335  12 Tb 3.57-3.76
Tb5 0.7023 0.1872 0.1872  1 Nd 3.02, 2 Tb 3.26
Tb6 0.7024 0.6256 0.1871  1 Nd 3.02, 2 Tb 3.26



Best to worst by energy: <i>, <ii>.



<i>
Crystalline TbNd7Y2 at its relaxed geometry. Source: Alexandria, functional PBE-GGA.

Summary:
The space-group type is Cmmm, No. 65.

a b c (Å): 5.4915 9.7591 9.7591
angles (deg): 127.18 90.00 90.00
With the nearest neighbours (Å) after each atom.
Positions (direct):
Nd1 0.5000 0.2890 0.0714  2 Nd 3.13-3.36, 1 Y 3.28
Nd2 0.5000 0.5000 0.5000  4 Nd 3.36, 2 Y 3.64
Tb1 0.0000 0.0000 0.0000  10 Nd 3.51-3.69
Nd3 0.5000 0.0714 0.2890  2 Nd 3.13-3.36, 1 Y 3.28
Nd4 0.5000 0.9286 0.7110  2 Nd 3.13-3.36, 1 Y 3.28
Y1 0.5000 0.7082 0.2918  4 Nd 3.17-3.28
Nd5 0.5000 0.7110 0.9286  2 Nd 3.13-3.36, 1 Y 3.28
Y2 0.5000 0.2918 0.7082  4 Nd 3.17-3.28
Nd6 0.0000 0.2010 0.7990  2 Y 3.17, 1 Tb 3.51, 4 Nd 3.55
Nd7 0.0000 0.7990 0.2010  2 Y 3.17, 1 Tb 3.51, 4 Nd 3.55



<ii>
Crystalline TbNd7Y2 at its relaxed geometry. Source: Alexandria, functional PBE-GGA.

Summary:
The space-group type is Cmmm, No. 65.

a b c (Å): 3.5257 10.4555 10.4555
angles (deg): 108.97 90.00 90.00
With the nearest neighbours (Å) after each atom.
Positions (direct):
Nd1 0.5000 0.8738 0.6152  1 Y 3.17, 4 Nd 3.53-3.54
Y1 0.5000 0.1674 0.8326  4 Nd 3.17-3.20, 2 Tb 3.35, 2 Y 3.53
Nd2 0.5000 0.5000 0.5000  10 Nd 3.48-3.70
Tb1 0.0000 0.0000 0.0000  4 Y 3.35, 2 Tb 3.53
Nd3 0.0000 0.6760 0.3240  2 Y 3.20, 8 Nd 3.48-3.54
Nd4 0.0000 0.3240 0.6760  2 Y 3.20, 8 Nd 3.48-3.54
Nd5 0.5000 0.1262 0.3848  1 Y 3.17, 4 Nd 3.53-3.54
Nd6 0.5000 0.6152 0.8738  1 Y 3.17, 4 Nd 3.53-3.54
Y2 0.5000 0.8326 0.1674  4 Nd 3.17-3.20, 2 Tb 3.35, 2 Y 3.53
Nd7 0.5000 0.3848 0.1262  1 Y 3.17, 4 Nd 3.53-3.54



Best to worst by energy: <ii>, <i>.



<i>
Crystalline Tb3NdY3 at its relaxed geometry. Source: Alexandria, functional PBE-GGA.

Summary:
The space-group type is R-3, No. 148.

a b c (Å): 6.2154 6.2154 14.7750
angles (deg): 77.86 77.86 60.00
With the nearest neighbours (Å) after each atom.
Positions (direct):
Tb1 0.1987 0.8667 0.3995  3 Y 3.50-3.51, 9 Tb 3.54-3.60
Y1 0.7340 0.4010 0.7977  3 Tb 3.50-3.51, 2 Nd 3.56, 6 Y 3.59
Y2 0.2660 0.5990 0.2023  3 Tb 3.50-3.51, 2 Nd 3.56, 6 Y 3.59
Tb2 0.4649 0.8013 0.6005  3 Y 3.50-3.51, 9 Tb 3.54-3.60
Tb3 0.5351 0.1987 0.3995  3 Y 3.50-3.51, 9 Tb 3.54-3.60
Tb4 0.1333 0.4649 0.6005  3 Y 3.50-3.51, 9 Tb 3.54-3.60
Tb5 0.8013 0.1333 0.6005  3 Y 3.50-3.51, 9 Tb 3.54-3.60
Nd1 0.3333 0.3333 0.0000  6 Y 3.56, 3 Nd 3.59
Nd2 0.6667 0.6667 0.0000  6 Y 3.56, 3 Nd 3.59
Y3 0.0673 0.7340 0.7977  3 Tb 3.50-3.51, 2 Nd 3.56, 6 Y 3.59
Tb6 0.8667 0.5351 0.3995  3 Y 3.50-3.51, 9 Tb 3.54-3.60
Y4 0.5990 0.9327 0.2023  3 Tb 3.50-3.51, 2 Nd 3.56, 6 Y 3.59
Y5 0.4010 0.0673 0.7977  3 Tb 3.50-3.51, 2 Nd 3.56, 6 Y 3.59
Y6 0.9327 0.2660 0.2023  3 Tb 3.50-3.51, 2 Nd 3.56, 6 Y 3.59



<ii>
Crystalline Tb3NdY3 at its relaxed geometry. Source: Alexandria, functional PBE-GGA.

Summary:
The space-group type is P6_3/m, No. 176.

a b c (Å): 5.7165 9.6443 9.6447
angles (deg): 120.00 90.00 90.00
With the nearest neighbours (Å) after each atom.
Positions (direct):
Nd1 0.2500 0.6666 0.3332  9 Y 3.55-3.65, 3 Tb 3.65
Nd2 0.7500 0.3334 0.6668  9 Y 3.55-3.65, 3 Tb 3.65
Tb1 0.7500 0.1873 0.9507  6 Tb 3.54-3.61, 5 Y 3.55-3.68, 1 Nd 3.65
Tb2 0.7500 0.0493 0.2367  6 Tb 3.54-3.61, 5 Y 3.55-3.68, 1 Nd 3.65
Y1 0.7500 0.6206 0.0959  3 Nd 3.55-3.65, 5 Tb 3.55-3.68, 4 Y 3.56-3.64
Tb3 0.2500 0.9507 0.7633  6 Tb 3.54-3.61, 5 Y 3.55-3.68, 1 Nd 3.65
Tb4 0.2500 0.2365 0.1873  6 Tb 3.54-3.61, 5 Y 3.56-3.68, 1 Nd 3.65
Y2 0.2500 0.0959 0.4753  3 Nd 3.55-3.65, 5 Tb 3.55-3.68, 4 Y 3.56-3.64
Y3 0.2500 0.5247 0.6205  3 Nd 3.55-3.65, 5 Tb 3.56-3.68, 4 Y 3.56-3.64
Tb5 0.7500 0.7635 0.8127  6 Tb 3.54-3.61, 5 Y 3.56-3.68, 1 Nd 3.65
Y4 0.2500 0.3794 0.9041  3 Nd 3.55-3.65, 5 Tb 3.55-3.68, 4 Y 3.56-3.64
Y5 0.7500 0.4753 0.3795  3 Nd 3.55-3.65, 5 Tb 3.56-3.68, 4 Y 3.56-3.64
Tb6 0.2500 0.8127 0.0493  6 Tb 3.54-3.61, 5 Y 3.55-3.68, 1 Nd 3.65
Y6 0.7500 0.9041 0.5247  3 Nd 3.55-3.65, 5 Tb 3.55-3.68, 4 Y 3.56-3.64



Best to worst by energy: <ii>, <i>.



<i>
Crystalline TbNdY3 at its relaxed geometry. Source: Alexandria, functional PBE-GGA.

Summary:
The space-group type is C2/c, No. 15.

a b c (Å): 9.8236 8.7994 8.7994
angles (deg): 117.76 95.12 95.12
With the nearest neighbours (Å) after each atom.
Positions (direct):
Nd1 0.5438 0.2919 0.1922  5 Y 3.28-3.52, 3 Tb 3.35-3.56
Y1 0.5567 0.1221 0.7446  8 Y 3.43-3.81, 1 Nd 3.52, 2 Tb 3.64-3.78
Tb1 0.7500 0.4059 0.5941  8 Y 3.44-3.78, 2 Nd 3.56
Y2 0.3142 0.4239 0.9794  4 Y 3.28-3.67, 1 Nd 3.42, 2 Tb 3.48-3.58
Y3 0.6858 0.5761 0.0206  4 Y 3.28-3.67, 1 Nd 3.42, 2 Tb 3.48-3.58
Tb2 0.2500 0.5941 0.4059  8 Y 3.44-3.78, 2 Nd 3.56
Tb3 0.7500 0.9821 0.0179  4 Nd 3.35-3.40, 4 Y 3.58-3.64
Y4 0.9433 0.2554 0.8779  8 Y 3.43-3.81, 1 Nd 3.52, 2 Tb 3.64-3.78
Nd2 0.4562 0.7081 0.8078  5 Y 3.28-3.52, 3 Tb 3.35-3.56
Y5 0.1858 0.0206 0.5761  4 Y 3.28-3.67, 1 Nd 3.42, 2 Tb 3.48-3.58
Tb4 0.2500 0.0179 0.9821  4 Nd 3.35-3.40, 4 Y 3.58-3.64
Y6 0.6184 0.7048 0.4964  3 Nd 3.28-3.48, 4 Y 3.28-3.55, 2 Tb 3.44-3.58
Y7 0.8816 0.5036 0.2952  3 Nd 3.28-3.48, 4 Y 3.28-3.55, 2 Tb 3.44-3.58
Y8 0.1184 0.4964 0.7048  3 Nd 3.28-3.48, 4 Y 3.28-3.55, 2 Tb 3.44-3.58
Y9 0.4433 0.8779 0.2554  8 Y 3.43-3.81, 1 Nd 3.52, 2 Tb 3.64-3.78
Y10 0.0567 0.7446 0.1221  8 Y 3.43-3.81, 1 Nd 3.52, 2 Tb 3.64-3.78
Nd3 0.9562 0.8078 0.7081  5 Y 3.28-3.52, 3 Tb 3.35-3.56
Y11 0.3816 0.2952 0.5036  3 Nd 3.28-3.48, 4 Y 3.28-3.55, 2 Tb 3.44-3.58
Y12 0.8142 0.9794 0.4239  4 Y 3.28-3.67, 1 Nd 3.42, 2 Tb 3.48-3.58
Nd4 0.0438 0.1922 0.2919  5 Y 3.28-3.52, 3 Tb 3.35-3.56



<ii>
Crystalline TbNdY3 at its relaxed geometry. Source: Alexandria, functional PBE-GGA.

Summary:
The space-group type is P2_1/m, No. 11.

a b c (Å): 5.7366 6.3121 9.6593
angles (deg): 71.18 90.00 89.99
With the nearest neighbours (Å) after each atom.
Positions (direct):
Y1 0.7502 0.5648 0.1973  6 Y 3.55-3.67, 3 Tb 3.56-3.63, 3 Nd 3.57-3.69
Nd1 0.2501 0.6318 0.3987  8 Y 3.56-3.69, 2 Nd 3.57, 2 Tb 3.64-3.65
Y2 0.2499 0.0343 0.6021  3 Tb 3.55-3.68, 4 Nd 3.56-3.68, 5 Y 3.59-3.65
Y3 0.7500 0.1681 0.9994  4 Tb 3.55-3.66, 7 Y 3.55-3.67, 1 Nd 3.64
Y4 0.2500 0.8319 0.0006  4 Tb 3.55-3.66, 7 Y 3.55-3.67, 1 Nd 3.64
Y5 0.7501 0.9657 0.3979  3 Tb 3.55-3.68, 4 Nd 3.56-3.68, 5 Y 3.59-3.65
Tb1 0.2501 0.2306 0.1993  10 Y 3.55-3.68, 2 Nd 3.64-3.65
Nd2 0.7499 0.3682 0.6013  8 Y 3.56-3.69, 2 Nd 3.57, 2 Tb 3.64-3.65
Tb2 0.7499 0.7694 0.8007  10 Y 3.55-3.68, 2 Nd 3.64-3.65
Y6 0.2498 0.4352 0.8027  6 Y 3.55-3.67, 3 Tb 3.56-3.63, 3 Nd 3.57-3.69



Best to worst by energy: <ii>, <i>.



<i>
Crystalline Tb2Nd12Y5 at its relaxed geometry. Source: Alexandria, functional PBE-GGA.

Summary:
The space-group type is C2/m, No. 12.

a b c (Å): 9.3037 9.2729 8.8208
angles (deg): 91.96 90.00 120.11
With the nearest neighbours (Å) after each atom.
Positions (direct):
Tb1 0.3293 0.0000 0.0000  1 Tb 3.18, 6 Nd 3.42-3.52
Y1 0.7682 0.5364 0.4335  8 Nd 3.41-3.78, 2 Y 3.67-3.74
Nd1 0.4402 0.8804 0.6563  2 Y 3.41-3.68, 7 Nd 3.42-3.63, 2 Tb 3.52
Nd2 0.1735 0.7417 0.3200  4 Y 3.43-3.81, 5 Nd 3.45-3.67, 1 Tb 3.58
Y2 0.0000 0.0000 0.5000  10 Nd 3.58-3.81, 2 Y 3.74
Nd3 0.5682 0.7417 0.3200  4 Y 3.43-3.81, 5 Nd 3.45-3.67, 1 Tb 3.58
Nd4 0.4318 0.2583 0.6800  4 Y 3.43-3.81, 5 Nd 3.45-3.67, 1 Tb 3.58
Nd5 0.6674 0.6989 0.7625  4 Nd 3.39-3.68, 1 Tb 3.42, 3 Y 3.56-3.78
Nd6 0.0314 0.6989 0.7625  4 Nd 3.39-3.68, 1 Tb 3.42, 3 Y 3.56-3.78
Nd7 0.8265 0.2583 0.6800  4 Y 3.43-3.81, 5 Nd 3.45-3.67, 1 Tb 3.58
Tb2 0.6707 0.0000 0.0000  1 Tb 3.18, 6 Nd 3.42-3.52
Nd8 0.3326 0.3011 0.2375  4 Nd 3.39-3.68, 1 Tb 3.42, 3 Y 3.56-3.78
Y3 0.7038 0.4075 0.0294  8 Nd 3.52-3.78, 2 Tb 3.63, 1 Y 3.67
Nd9 0.0803 0.1606 0.8841  5 Nd 3.35-3.68, 2 Tb 3.49, 2 Y 3.52-3.58
Y4 0.2318 0.4636 0.5665  8 Nd 3.41-3.78, 2 Y 3.67-3.74
Y5 0.2962 0.5925 0.9706  8 Nd 3.52-3.78, 2 Tb 3.63, 1 Y 3.67
Nd10 0.5598 0.1196 0.3437  2 Y 3.41-3.68, 7 Nd 3.42-3.63, 2 Tb 3.52
Nd11 0.9686 0.3011 0.2375  4 Nd 3.39-3.68, 1 Tb 3.42, 3 Y 3.56-3.78
Nd12 0.9197 0.8394 0.1159  5 Nd 3.35-3.68, 2 Tb 3.49, 2 Y 3.52-3.58



<ii>
Crystalline Tb2Nd12Y5 at its relaxed geometry. Source: Alexandria, functional PBE-GGA.

Summary:
The space-group type is C2/m, No. 12.

a b c (Å): 7.1603 8.8060 11.7894
angles (deg): 109.22 107.68 90.00
With the nearest neighbours (Å) after each atom.
Positions (direct):
Y1 0.2489 0.4909 0.4977  9 Nd 3.52-3.70, 3 Y 3.55-3.58
Y2 0.3494 0.9024 0.6989  9 Nd 3.49-3.68, 1 Y 3.55, 2 Tb 3.63
Y3 0.0000 0.5000 0.0000  4 Nd 3.43
Tb1 0.7434 0.0000 0.0000  6 Nd 3.41-3.67, 2 Tb 3.48-3.68, 2 Y 3.63
Nd1 0.6372 0.6147 0.7879  1 Tb 3.41, 4 Y 3.43-3.53, 5 Nd 3.48-3.72
Nd2 0.4528 0.7936 0.3995  7 Nd 3.48-3.75, 4 Y 3.57-3.69
Y4 0.6506 0.0976 0.3011  9 Nd 3.49-3.68, 1 Y 3.55, 2 Tb 3.63
Tb2 0.2566 0.0000 0.0000  6 Nd 3.41-3.67, 2 Tb 3.48-3.68, 2 Y 3.63
Nd3 0.8565 0.9382 0.7131  6 Nd 3.54-3.75, 2 Tb 3.58, 3 Y 3.59-3.70
Y5 0.7511 0.5091 0.5023  9 Nd 3.52-3.70, 3 Y 3.55-3.58
Nd4 0.5472 0.2064 0.6005  7 Nd 3.48-3.75, 4 Y 3.57-3.69
Nd5 0.3628 0.3853 0.2121  1 Tb 3.41, 4 Y 3.43-3.53, 5 Nd 3.48-3.72
Nd6 0.1508 0.6147 0.7879  1 Tb 3.41, 4 Y 3.43-3.53, 5 Nd 3.48-3.72
Nd7 0.1435 0.0618 0.2869  6 Nd 3.54-3.75, 2 Tb 3.58, 3 Y 3.59-3.70
Nd8 0.4521 0.3056 0.9042  5 Nd 3.36-3.72, 1 Y 3.50, 2 Tb 3.67
Nd9 0.5479 0.6944 0.0958  5 Nd 3.36-3.72, 1 Y 3.50, 2 Tb 3.67
Nd10 0.9467 0.7936 0.3995  7 Nd 3.48-3.75, 4 Y 3.57-3.69
Nd11 0.0533 0.2064 0.6005  7 Nd 3.48-3.75, 4 Y 3.57-3.69
Nd12 0.8492 0.3853 0.2121  1 Tb 3.41, 4 Y 3.43-3.53, 5 Nd 3.48-3.72



Best to worst by energy: <i>, <ii>.